The following is a DFT calculation (GGA+U) of a relaxed CoSbOF2 crystal.

Properties
VASP energy: -4.63 eV/atom
Total magnetic moment: 3.1 μB per cell

Cell lengths 4.2041, 4.2041, 3.7686 Å; angles 90.00, 90.00, 90.00 degrees
Last column: nearest neighbours and their distance in Å.
Space group P4/mmm (No. 123)
Inequivalent atoms, fractional coordinates:
Co: 0.0000 0.0000 0.0000  2 O 1.88, 4 F 2.10
Sb: 0.5000 0.5000 0.5000  8 F 2.82, 4 O 2.97
O: 0.0000 0.0000 0.5000  2 Co 1.88
F: 0.0000 0.5000 0.0000  2 Co 2.10